No. 1
Entry from Alexandria: a relaxed structure of CsZnCl2 (PBE).

a = 9.323 Å, b = 9.323 Å, c = 9.323 Å
α = 26.33°, β = 26.33°, γ = 26.33°
Atoms (fractional coordinates):
Cs1 0.000 0.000 0.000
Zn1 0.500 0.500 0.500
Cl1 0.120 0.120 0.120
Cl2 0.880 0.880 0.880

Output
M_tot = 0.000 μB/f.u.
Relative energy among the computed polymorphs = 1.45 eV per formula unit
Uncorrected formation energy = -0.7267 eV/atom



No. 2
Entry from Alexandria: a relaxed structure of Cs2Zn3Cl8 (PBE).

a = 9.227 Å, b = 9.227 Å, c = 6.531 Å
α = 110.34°, β = 110.34°, γ = 63.22°
Atoms (fractional coordinates):
Cs1 0.231 0.231 0.113
Cs2 0.769 0.769 0.887
Zn1 0.172 0.828 0.500
Zn2 0.500 0.500 0.000
Zn3 0.828 0.172 0.500
Cl1 0.101 0.101 0.459
Cl2 0.203 0.638 0.177
Cl3 0.362 0.797 0.823
Cl4 0.365 0.365 0.714
Cl5 0.635 0.635 0.286
Cl6 0.638 0.203 0.177
Cl7 0.797 0.362 0.823
Cl8 0.899 0.899 0.541

Output
M_tot = 0.208 μB/f.u.
Uncorrected formation energy = -1.4115 eV/atom



No. 3
Entry from Alexandria: a relaxed structure of CsZn2Cl (PBE).

a = 7.653 Å, b = 7.653 Å, c = 7.653 Å
α = 100.58°, β = 100.58°, γ = 129.25°
Atoms (fractional coordinates):
Cs1 0.000 0.000 0.000
Cs2 0.750 0.250 0.500
Zn1 0.168 0.625 0.043
Zn2 0.375 0.418 0.543
Zn3 0.582 0.125 0.957
Zn4 0.875 0.832 0.457
Cl1 0.250 0.750 0.500
Cl2 0.500 0.500 0.000

Output
M_tot = 0.000 μB/f.u.
Relative energy among the computed polymorphs = 0.00 eV per formula unit
Uncorrected formation energy = -0.3672 eV/atom



No. 4
Entry from Alexandria: a relaxed structure of CsZnCl2 (PBE).

a = 8.592 Å, b = 8.592 Å, c = 8.592 Å
α = 135.08°, β = 135.08°, γ = 65.41°
Atoms (fractional coordinates):
Cs1 0.000 0.000 0.000
Cs2 0.750 0.250 0.500
Zn1 0.250 0.750 0.500
Zn2 0.500 0.500 0.000
Cl1 0.242 0.625 0.117
Cl2 0.375 0.492 0.617
Cl3 0.508 0.125 0.883
Cl4 0.875 0.758 0.383

Output
M_tot = 0.000 μB/f.u.
Relative energy among the computed polymorphs = 0.00 eV per formula unit
Uncorrected formation energy = -1.0895 eV/atom



No. 5
Entry from Alexandria: a relaxed structure of Cs2Zn2Cl (PBE).

a = 6.877 Å, b = 6.877 Å, c = 6.877 Å
α = 118.58°, β = 118.58°, γ = 92.49°
Atoms (fractional coordinates):
Cs1 0.250 0.750 0.500
Cs2 0.750 0.250 0.500
Zn1 0.140 0.140 0.000
Zn2 0.860 0.860 0.000
Cl1 0.500 0.500 0.000

Output
M_tot = 0.000 μB/f.u.
Uncorrected formation energy = -0.3102 eV/atom



No. 6
Entry from Alexandria: a relaxed structure of CsZnCl2 (PBE).

a = 9.333 Å, b = 9.333 Å, c = 9.333 Å
α = 28.72°, β = 28.72°, γ = 28.72°
Atoms (fractional coordinates):
Cs1 0.000 0.000 0.000
Zn1 0.500 0.500 0.500
Cl1 0.412 0.412 0.412
Cl2 0.588 0.588 0.588

Output
M_tot = 0.000 μB/f.u.
Relative energy among the computed polymorphs = 0.42 eV per formula unit
Uncorrected formation energy = -0.9846 eV/atom



No. 7
Entry from Alexandria: a relaxed structure of Cs2Zn2Cl5 (PBE).

a = 7.526 Å, b = 7.526 Å, c = 8.236 Å
α = 105.02°, β = 105.02°, γ = 41.33°
Atoms (fractional coordinates):
Cs1 0.094 0.094 0.315
Cs2 0.906 0.906 0.685
Zn1 0.344 0.344 0.098
Zn2 0.656 0.656 0.902
Cl1 0.164 0.164 0.938
Cl2 0.355 0.355 0.390
Cl3 0.500 0.500 0.000
Cl4 0.645 0.645 0.610
Cl5 0.836 0.836 0.062

Output
M_tot = 0.000 μB/f.u.
Uncorrected formation energy = -1.3179 eV/atom



No. 8
Entry from Alexandria: a relaxed structure of Cs3ZnCl6 (PBE).

a = 8.058 Å, b = 8.058 Å, c = 8.058 Å
α = 60.00°, β = 60.00°, γ = 60.00°
Atoms (fractional coordinates):
Cs1 0.000 0.000 0.000
Cs2 0.250 0.250 0.250
Cs3 0.750 0.750 0.750
Zn1 0.500 0.500 0.500
Cl1 0.285 0.285 0.715
Cl2 0.285 0.715 0.285
Cl3 0.285 0.715 0.715
Cl4 0.715 0.285 0.285
Cl5 0.715 0.285 0.715
Cl6 0.715 0.715 0.285

Output
M_tot = 1.000 μB/f.u.
Uncorrected formation energy = -1.4147 eV/atom



No. 9
Entry from Alexandria: a relaxed structure of Cs12Zn3Cl5 (PBE).

a = 18.904 Å, b = 18.904 Å, c = 18.904 Å
α = 109.47°, β = 109.47°, γ = 109.47°
Atoms (fractional coordinates):
Cs1 0.032 0.207 0.124
Cs2 0.032 0.324 0.907
Cs3 0.083 0.707 0.676
Cs4 0.083 0.876 0.407
Cs5 0.093 0.624 0.417
Cs6 0.093 0.968 0.676
Cs7 0.124 0.032 0.207
Cs8 0.124 0.593 0.917
Cs9 0.176 0.207 0.583
Cs10 0.176 0.468 0.593
Cs11 0.207 0.124 0.032
Cs12 0.207 0.583 0.176
Cs13 0.293 0.324 0.917
Cs14 0.293 0.468 0.376
Cs15 0.324 0.907 0.032
Cs16 0.324 0.917 0.293
Cs17 0.376 0.293 0.468
Cs18 0.376 0.583 0.907
Cs19 0.407 0.083 0.876
Cs20 0.407 0.824 0.532
Cs21 0.417 0.093 0.624
Cs22 0.417 0.824 0.793
Cs23 0.468 0.376 0.293
Cs24 0.468 0.593 0.176
Cs25 0.532 0.407 0.824
Cs26 0.532 0.624 0.707
Cs27 0.583 0.176 0.207
Cs28 0.583 0.907 0.376
Cs29 0.593 0.176 0.468
Cs30 0.593 0.917 0.124
Cs31 0.624 0.417 0.093
Cs32 0.624 0.707 0.532
Cs33 0.676 0.083 0.707
Cs34 0.676 0.093 0.968
Cs35 0.707 0.532 0.624
Cs36 0.707 0.676 0.083
Cs37 0.793 0.417 0.824
Cs38 0.793 0.876 0.968
Cs39 0.824 0.532 0.407
Cs40 0.824 0.793 0.417
Cs41 0.876 0.407 0.083
Cs42 0.876 0.968 0.793
Cs43 0.907 0.032 0.324
Cs44 0.907 0.376 0.583
Cs45 0.917 0.124 0.593
Cs46 0.917 0.293 0.324
Cs47 0.968 0.676 0.093
Cs48 0.968 0.793 0.876
Zn1 0.125 0.250 0.375
Zn2 0.125 0.375 0.750
Zn3 0.250 0.375 0.125
Zn4 0.250 0.875 0.625
Zn5 0.375 0.125 0.250
Zn6 0.375 0.750 0.125
Zn7 0.625 0.250 0.875
Zn8 0.625 0.875 0.750
Zn9 0.750 0.125 0.375
Zn10 0.750 0.625 0.875
Zn11 0.875 0.625 0.250
Zn12 0.875 0.750 0.625
Cl1 0.000 0.000 0.000
Cl2 0.000 0.000 0.500
Cl3 0.000 0.500 0.000
Cl4 0.000 0.500 0.500
Cl5 0.125 0.750 0.875
Cl6 0.125 0.875 0.250
Cl7 0.250 0.125 0.875
Cl8 0.250 0.625 0.375
Cl9 0.375 0.250 0.625
Cl10 0.375 0.625 0.750
Cl11 0.500 0.000 0.000
Cl12 0.500 0.000 0.500
Cl13 0.500 0.500 0.000
Cl14 0.500 0.500 0.500
Cl15 0.625 0.375 0.250
Cl16 0.625 0.750 0.375
Cl17 0.750 0.375 0.625
Cl18 0.750 0.875 0.125
Cl19 0.875 0.125 0.750
Cl20 0.875 0.250 0.125

Output
M_tot = 1.958 μB/f.u.
Uncorrected formation energy = -0.8226 eV/atom



No. 10
Entry from Alexandria: a relaxed structure of CsZrZn2Cl8 (PBE).

a = 11.145 Å, b = 11.145 Å, c = 11.145 Å
α = 33.51°, β = 33.51°, γ = 33.51°
Atoms (fractional coordinates):
Cs1 0.000 0.000 0.000
Zr1 0.500 0.500 0.500
Zn1 0.239 0.239 0.239
Zn2 0.761 0.761 0.761
Cl1 0.132 0.778 0.447
Cl2 0.222 0.553 0.868
Cl3 0.310 0.310 0.310
Cl4 0.447 0.132 0.778
Cl5 0.553 0.868 0.222
Cl6 0.690 0.690 0.690
Cl7 0.778 0.447 0.132
Cl8 0.868 0.222 0.553

Output
M_tot = 1.000 μB/f.u.
Uncorrected formation energy = -1.4478 eV/atom



No. 11
Entry from Alexandria: a relaxed structure of Cs2ZrZnCl6 (PBE).

a = 8.123 Å, b = 8.123 Å, c = 8.123 Å
α = 60.00°, β = 60.00°, γ = 60.00°
Atoms (fractional coordinates):
Cs1 0.250 0.250 0.250
Cs2 0.750 0.750 0.750
Zr1 0.000 0.000 0.000
Zn1 0.500 0.500 0.500
Cl1 0.217 0.217 0.783
Cl2 0.217 0.783 0.217
Cl3 0.217 0.783 0.783
Cl4 0.783 0.217 0.217
Cl5 0.783 0.217 0.783
Cl6 0.783 0.783 0.217

Output
M_tot = 0.000 μB/f.u.
Uncorrected formation energy = -1.6380 eV/atom



No. 12
Entry from Alexandria: a relaxed structure of CsZr2Cl2 (PBE).

a = 9.874 Å, b = 9.874 Å, c = 3.366 Å
α = 90.00°, β = 90.00°, γ = 90.00°
Atoms (fractional coordinates):
Cs1 0.000 0.000 0.000
Cs2 0.500 0.500 0.000
Zr1 0.104 0.396 0.500
Zr2 0.396 0.896 0.500
Zr3 0.604 0.104 0.500
Zr4 0.896 0.604 0.500
Cl1 0.116 0.616 0.000
Cl2 0.384 0.116 0.000
Cl3 0.616 0.884 0.000
Cl4 0.884 0.384 0.000

Output
M_tot = 3.872 μB/f.u.
Relative energy among the computed polymorphs = 3.44 eV per formula unit
Uncorrected formation energy = 0.0139 eV/atom